The following is a DFT calculation (PBE-GGA) of a relaxed BaCa2Cr crystal.

Output
distance to the lowest polymorph of the same formula = 0.0147 eV per atom
space group = P4mm, No. 99
mass density = 2.84 g/cm³
spin magnetization = 1.243 μB/atom
ΔE_f = 0.401 eV per atom

a b c (Å): 4.1373 4.1373 9.1977
angles (deg): 90.00 90.00 90.00
Fractional positions:
Ba  0.0000  0.0000  0.0000
Ca  0.0000  0.0000  0.5916
Ca  0.5000  0.5000  0.3318
Cr  0.5000  0.5000  0.7543